VSeF after structural relaxation. Source: Alexandria via LeMat-Bulk, functional PBE with a Hubbard U.

Values from the calculation:
**Uncorrected energy**: -5.577 eV per atom

Unit cell a=3.486 b=3.486 c=5.630 alpha=90.00 beta=90.00 gamma=120.00
Each line ends with the local moment (μB).
Sites, in units of the cell vectors:
1 V 0.667 0.333 0.365  2.08
2 F 0.333 0.667 0.537  0.00
3 Se 0.000 0.000 0.099  -0.15